Co2NiSe: relaxed, PBE.

```
Co2NiSe
1.0
-6.3744 -2.9053 3.3109
-6.7260 -3.7841 0.6906
-5.1425 -5.2518 2.4515
Co Ni Se
2 1 1
Direct
0.0004 0.0004 0.0004
0.4996 0.4996 0.4996
0.2500 0.2500 0.2500
0.7500 0.7500 0.7500
```

Calculated values
calculated volume = 12.74 A^3/atom
N(E_F) = 1.303 states/eV per atom
total magnetic moment = 3.49 μB per cell
ΔE_f (raw) = 0.353 eV/atom